Material: Mg3Zr2Cd3
Method: DFT, PBE-GGA
State: optimized geometry

a b c (Å): 4.581 4.602 8.187
angles (deg): 90.00 90.00 90.00
Space group Pmmm (No. 47)
Unique sites:
Mg (0.000, 0.000, 0.000) [1 per cell]
Mg (0.000, 0.500, 0.253) [2 per cell]
Zr (0.500, 0.000, 0.250) [2 per cell]
Cd (0.000, 0.000, 0.500) [1 per cell]
Cd (0.500, 0.500, 0.000) [1 per cell]
Cd (0.500, 0.500, 0.500) [1 per cell]

Energy of formation ... -0.73 eV/f.u.


Material: Tb3Ce2Co4
Method: DFT, PBE-GGA
State: optimized geometry

a b c (Å): 15.290 4.582 5.501
angles (deg): 90.00 103.63 90.00
Space group C2/m (No. 12)
Unique sites:
Tb (0.000, 0.000, 0.000) [2 per cell]
Tb (0.126, 0.000, 0.587) [4 per cell]
Ce (0.159, 0.500, 0.124) [4 per cell]
Co (0.004, 0.500, 0.301) [4 per cell]
Co (0.213, 0.000, 0.164) [4 per cell]

Energy of formation ... -0.92 eV/f.u.


Material: DyY6Ho8
Method: DFT, PBE-GGA
State: optimized geometry

a b c (Å): 9.0217 9.0217 20.5179
angles (deg): 90.00 90.00 120.00
Space group R-3 (No. 148, hexagonal axes)
Unique sites:
Dy (0.0000, 0.0000, 0.0000) [3 per cell]
Y (0.0631, 0.8155, 0.7075) [18 per cell]
Ho (0.0000, 0.0000, 0.4238) [6 per cell]
Ho (0.0814, 0.5284, 0.8083) [18 per cell]

Energy of formation ... 1.85 eV/f.u.


Material: Tb4YTh3S8
Method: DFT, PBE-GGA
State: optimized geometry

a b c (Å): 7.8842 7.8842 19.7357
angles (deg): 90.00 90.00 120.00
Space group R-3m (No. 166, hexagonal axes)
Unique sites:
Tb (0.0000, 0.0000, 0.0000) [3 per cell]
Tb (0.0000, 0.5000, 0.0000) [9 per cell]
Y (0.0000, 0.0000, 0.5000) [3 per cell]
Th (0.0000, 0.5000, 0.5000) [9 per cell]
S (0.0000, 0.0000, 0.2544) [6 per cell]
S (0.0055, 0.5028, 0.2527) [18 per cell]


Going through the records in order, we get raw total energy values of -3.170; -6.122; -5.211; -6.951 eV per atom.
Going through the records in order, we get DOS(E_F) values of 4.4; 16.3; 71.6; 18.7 states/eV/cell.